[1]
Density functional theory data (GGA-PBE) for a relaxed structure of Nd8PbAu2.

a b c (Å): 9.2707 9.2707 8.2392
angles (deg): 114.42 114.42 32.03
Positions (direct):
1 Nd 0.0462 0.0462 0.2561
2 Nd 0.1804 0.1804 0.7766
3 Nd 0.3184 0.3184 0.5312
4 Nd 0.4067 0.4067 0.0366
5 Nd 0.5933 0.5933 0.9634
6 Nd 0.6816 0.6816 0.4688
7 Nd 0.8196 0.8196 0.2234
8 Nd 0.9538 0.9538 0.7439
9 Pb 0.5000 0.5000 0.5000
10 Au 0.1927 0.1927 0.1531
11 Au 0.8073 0.8073 0.8469

## Properties
Energy of formation, eV/atom: -0.38
Fermi-level density of states, states/eV/cell: 11.96
Total magnetization, μB per formula unit: 0.000


[2]
Density functional theory data (GGA-PBE) for a relaxed structure of NdPbAu4.

a b c (Å): 5.7234 5.7234 5.7234
angles (deg): 60.00 60.00 60.00
Positions (direct):
1 Nd 0.0000 0.0000 0.0000
2 Pb 0.2500 0.2500 0.2500
3 Au 0.1249 0.6250 0.6250
4 Au 0.6250 0.1249 0.6250
5 Au 0.6250 0.6250 0.1249
6 Au 0.6250 0.6250 0.6250

## Properties
Energy of formation, eV/atom: -0.40
Fermi-level density of states, states/eV/cell: 3.87
Total magnetization, μB per formula unit: 0.000
Polymorph energy (0 for the lowest one), eV/atom: 0.039


[3]
Density functional theory data (GGA-PBE) for a relaxed structure of Nd6PbAu5.

a b c (Å): 5.2712 7.5778 8.3810
angles (deg): 90.00 108.31 90.00
Positions (direct):
1 Nd 0.0000 0.2371 0.0000
2 Nd 0.0000 0.7629 0.0000
3 Nd 0.3285 0.2465 0.6565
4 Nd 0.3285 0.7535 0.6565
5 Nd 0.6715 0.2465 0.3435
6 Nd 0.6715 0.7535 0.3435
7 Pb 0.5000 0.5000 0.0000
8 Au 0.1587 0.5000 0.3195
9 Au 0.1662 0.0000 0.3337
10 Au 0.5000 0.0000 0.0000
11 Au 0.8338 0.0000 0.6663
12 Au 0.8413 0.5000 0.6805

## Properties
Energy of formation, eV/atom: -0.71
Fermi-level density of states, states/eV/cell: 9.66
Total magnetization, μB per formula unit: 0.000


[4]
Density functional theory data (GGA-PBE) for a relaxed structure of NdPbAu.

a b c (Å): 5.2556 5.2556 6.5974
angles (deg): 90.00 90.00 120.00
Positions (direct):
1 Nd 0.3333 0.6667 0.2500
2 Nd 0.6667 0.3333 0.7500
3 Pb 0.0000 0.0000 0.0000
4 Pb 0.0000 0.0000 0.5000
5 Au 0.3333 0.6667 0.7500
6 Au 0.6667 0.3333 0.2500

## Properties
Energy of formation, eV/atom: -0.64
Fermi-level density of states, states/eV/cell: 2.37
Total magnetization, μB per formula unit: 0.000


[5]
Density functional theory data (GGA-PBE) for a relaxed structure of Nd3PbAu5.

a b c (Å): 8.9549 8.9549 6.3387
angles (deg): 90.00 90.00 120.00
Positions (direct):
1 Nd 0.0000 0.3518 0.2500
2 Nd 0.0000 0.6482 0.7500
3 Nd 0.3518 0.0000 0.2500
4 Nd 0.3518 0.3518 0.7500
5 Nd 0.6482 0.0000 0.7500
6 Nd 0.6482 0.6482 0.2500
7 Pb 0.0000 0.0000 0.0000
8 Pb 0.0000 0.0000 0.5000
9 Au 0.0000 0.3200 0.7500
10 Au 0.0000 0.6800 0.2500
11 Au 0.3200 0.0000 0.7500
12 Au 0.3200 0.3200 0.2500
13 Au 0.3333 0.6667 0.0000
14 Au 0.3333 0.6667 0.5000
15 Au 0.6667 0.3333 0.0000
16 Au 0.6667 0.3333 0.5000
17 Au 0.6800 0.0000 0.2500
18 Au 0.6800 0.6800 0.7500

## Properties
Energy of formation, eV/atom: -0.70
Fermi-level density of states, states/eV/cell: 7.85
Total magnetization, μB per formula unit: 0.000


[6]
Density functional theory data (GGA-PBE) for a relaxed structure of Nd8Pb2Au.

a b c (Å): 10.3445 10.3445 7.0171
angles (deg): 104.02 104.02 29.24
Positions (direct):
1 Nd 0.0147 0.0147 0.2758
2 Nd 0.2147 0.2147 0.8256
3 Nd 0.3489 0.3489 0.4963
4 Nd 0.4084 0.4084 0.0244
5 Nd 0.5916 0.5916 0.9756
6 Nd 0.6511 0.6511 0.5037
7 Nd 0.7853 0.7853 0.1744
8 Nd 0.9853 0.9853 0.7242
9 Pb 0.1807 0.1807 0.2605
10 Pb 0.8193 0.8193 0.7395
11 Au 0.5000 0.5000 0.5000

## Properties
Energy of formation, eV/atom: -0.33
Fermi-level density of states, states/eV/cell: 10.52
Total magnetization, μB per formula unit: 0.000